Computed, not measured: a geometry-optimized Tl3Cu5Cl12 structure at the PBE level of DFT.

a = 13.7741 Å, b = 13.7741 Å, c = 13.7741 Å
α = 109.47°, β = 109.47°, γ = 109.47°
Last column: nearest neighbours and their distance in Å.
Element x y z (fractional)
Tl (0.1250, 0.2500, 0.3750)  8 Cl 3.16-3.33
Tl (0.1250, 0.3750, 0.7500)  8 Cl 3.16-3.33
Tl (0.2500, 0.3750, 0.1250)  8 Cl 3.16-3.33
Tl (0.2500, 0.8750, 0.6250)  8 Cl 3.16-3.33
Tl (0.3750, 0.1250, 0.2500)  8 Cl 3.16-3.33
Tl (0.3750, 0.7500, 0.1250)  8 Cl 3.16-3.33
Tl (0.6250, 0.2500, 0.8750)  8 Cl 3.16-3.33
Tl (0.6250, 0.8750, 0.7500)  8 Cl 3.16-3.33
Tl (0.7500, 0.1250, 0.3750)  8 Cl 3.16-3.33
Tl (0.7500, 0.6250, 0.8750)  8 Cl 3.16-3.33
Tl (0.8750, 0.6250, 0.2500)  8 Cl 3.16-3.33
Tl (0.8750, 0.7500, 0.6250)  8 Cl 3.16-3.33
Cu (0.0000, 0.0000, 0.0000)  6 Cl 2.48
Cu (0.0000, 0.0000, 0.5000)  6 Cl 2.48
Cu (0.0000, 0.5000, 0.0000)  6 Cl 2.48
Cu (0.0000, 0.5000, 0.5000)  6 Cl 2.48
Cu (0.1250, 0.7500, 0.8750)  4 Cl 2.30
Cu (0.1250, 0.8750, 0.2500)  4 Cl 2.30
Cu (0.2500, 0.1250, 0.8750)  4 Cl 2.30
Cu (0.2500, 0.6250, 0.3750)  4 Cl 2.30
Cu (0.3750, 0.2500, 0.6250)  4 Cl 2.30
Cu (0.3750, 0.6250, 0.7500)  4 Cl 2.30
Cu (0.5000, 0.0000, 0.0000)  6 Cl 2.48
Cu (0.5000, 0.0000, 0.5000)  6 Cl 2.48
Cu (0.5000, 0.5000, 0.0000)  6 Cl 2.48
Cu (0.5000, 0.5000, 0.5000)  6 Cl 2.48
Cu (0.6250, 0.3750, 0.2500)  4 Cl 2.30
Cu (0.6250, 0.7500, 0.3750)  4 Cl 2.30
Cu (0.7500, 0.3750, 0.6250)  4 Cl 2.30
Cu (0.7500, 0.8750, 0.1250)  4 Cl 2.30
Cu (0.8750, 0.1250, 0.7500)  4 Cl 2.30
Cu (0.8750, 0.2500, 0.1250)  4 Cl 2.30
Cl (0.0076, 0.1891, 0.1075)  2 Cu 2.30-2.48
Cl (0.0076, 0.3185, 0.9002)  2 Cu 2.30-2.48
Cl (0.0816, 0.6891, 0.6815)  2 Cu 2.30-2.48
Cl (0.0816, 0.8925, 0.4002)  2 Cu 2.30-2.48
Cl (0.0998, 0.6075, 0.4184)  2 Cu 2.30-2.48
Cl (0.0998, 0.9924, 0.6815)  2 Cu 2.30-2.48
Cl (0.1075, 0.0076, 0.1891)  2 Cu 2.30-2.48
Cl (0.1075, 0.5998, 0.9184)  2 Cu 2.30-2.48
Cl (0.1815, 0.1891, 0.5816)  2 Cu 2.30-2.48
Cl (0.1815, 0.4924, 0.5998)  2 Cu 2.30-2.48
Cl (0.1891, 0.1075, 0.0076)  2 Cu 2.30-2.48
Cl (0.1891, 0.5816, 0.1815)  2 Cu 2.30-2.48
Cl (0.3109, 0.3185, 0.9184)  2 Cu 2.30-2.48
Cl (0.3109, 0.4924, 0.3925)  2 Cu 2.30-2.48
Cl (0.3185, 0.9002, 0.0076)  2 Cu 2.30-2.48
Cl (0.3185, 0.9184, 0.3109)  2 Cu 2.30-2.48
Cl (0.3925, 0.3109, 0.4924)  2 Cu 2.30-2.48
Cl (0.3925, 0.5816, 0.9002)  2 Cu 2.30-2.48
Cl (0.4002, 0.0816, 0.8925)  2 Cu 2.30-2.48
Cl (0.4002, 0.8185, 0.5076)  2 Cu 2.30-2.48
Cl (0.4184, 0.0998, 0.6075)  2 Cu 2.30-2.48
Cl (0.4184, 0.8185, 0.8109)  2 Cu 2.30-2.48
Cl (0.4924, 0.3925, 0.3109)  2 Cu 2.30-2.48
Cl (0.4924, 0.5998, 0.1815)  2 Cu 2.30-2.48
Cl (0.5076, 0.4002, 0.8185)  2 Cu 2.30-2.48
Cl (0.5076, 0.6075, 0.6891)  2 Cu 2.30-2.48
Cl (0.5816, 0.1815, 0.1891)  2 Cu 2.30-2.48
Cl (0.5816, 0.9002, 0.3925)  2 Cu 2.30-2.48
Cl (0.5998, 0.1815, 0.4924)  2 Cu 2.30-2.48
Cl (0.5998, 0.9184, 0.1075)  2 Cu 2.30-2.48
Cl (0.6075, 0.4184, 0.0998)  2 Cu 2.30-2.48
Cl (0.6075, 0.6891, 0.5076)  2 Cu 2.30-2.48
Cl (0.6815, 0.0816, 0.6891)  2 Cu 2.30-2.48
Cl (0.6815, 0.0998, 0.9924)  2 Cu 2.30-2.48
Cl (0.6891, 0.5076, 0.6075)  2 Cu 2.30-2.48
Cl (0.6891, 0.6815, 0.0816)  2 Cu 2.30-2.48
Cl (0.8109, 0.4184, 0.8185)  2 Cu 2.30-2.48
Cl (0.8109, 0.8925, 0.9924)  2 Cu 2.30-2.48
Cl (0.8185, 0.5076, 0.4002)  2 Cu 2.30-2.48
Cl (0.8185, 0.8109, 0.4184)  2 Cu 2.30-2.48
Cl (0.8925, 0.4002, 0.0816)  2 Cu 2.30-2.48
Cl (0.8925, 0.9924, 0.8109)  2 Cu 2.30-2.48
Cl (0.9002, 0.0076, 0.3185)  2 Cu 2.30-2.48
Cl (0.9002, 0.3925, 0.5816)  2 Cu 2.30-2.48
Cl (0.9184, 0.1075, 0.5998)  2 Cu 2.30-2.48
Cl (0.9184, 0.3109, 0.3185)  2 Cu 2.30-2.48
Cl (0.9924, 0.6815, 0.0998)  2 Cu 2.30-2.48
Cl (0.9924, 0.8109, 0.8925)  2 Cu 2.30-2.48

V: 25.15 Å³/atom
Symmetry: Ia-3d
Uncorrected formation energy: -0.63 eV per atom